First-principles (GGA-PBE) data for a relaxed RbNaZrS3 crystal, as listed in OQMD via LeMat-Bulk.

The structure in CIF format:
```
data_RbNaZrS3
_chemical_formula_sum 'Rb4 Na4 Zr4 S12'
_space_group_name_H-M_alt 'C m c m'
_space_group_IT_number 63
_space_group_name_Hall '-C 2c 2'
_cell_length_a 3.893
_cell_length_b 14.967
_cell_length_c 10.599
_cell_angle_alpha 90.00
_cell_angle_beta 90.00
_cell_angle_gamma 90.00
loop_
_atom_site_label
_atom_site_fract_x
_atom_site_fract_y
_atom_site_fract_z
Rb1 0.000 0.215 0.250
Na1 0.000 0.076 0.750
Zr1 0.000 0.500 0.000
S1 0.000 0.117 0.518
S2 0.000 0.462 0.750
```

Results
total magnetic moment	0.0	μB per formula unit
raw total energy	-30.85	eV per formula unit


First-principles (GGA-PBE) data for a relaxed RbNaZrS3 crystal, as listed in OQMD via LeMat-Bulk.

The structure in CIF format:
```
data_RbNaZrS3
_chemical_formula_sum 'Rb2 Na2 Zr2 S6'
_space_group_name_H-M_alt 'P 1 21/m 1'
_space_group_IT_number 11
_cell_length_a 8.920
_cell_length_b 3.928
_cell_length_c 9.611
_cell_angle_alpha 90.00
_cell_angle_beta 108.27
_cell_angle_gamma 90.00
loop_
_space_group_symop_operation_xyz
'x,y,z'
'-x,-y,-z'
'-x,y+1/2,-z'
'x,-y+1/2,z'
loop_
_atom_site_label
_atom_site_fract_x
_atom_site_fract_y
_atom_site_fract_z
Rb1 0.239 0.250 0.260
Na1 0.058 0.250 0.609
Zr1 0.329 0.750 0.852
S1 0.151 0.250 0.892
S2 0.247 0.750 0.577
S3 0.469 0.750 0.141
```

Results
total magnetic moment	0.0	μB per formula unit
raw total energy	-31.14	eV per formula unit


First-principles (GGA-PBE) data for a relaxed RbNaZrS3 crystal, as listed in OQMD via LeMat-Bulk.

The structure in CIF format:
```
data_RbNaZrS3
_chemical_formula_sum 'Rb4 Na4 Zr4 S12'
_space_group_name_H-M_alt 'P n m a'
_space_group_IT_number 62
_cell_length_a 14.945
_cell_length_b 3.924
_cell_length_c 10.906
_cell_angle_alpha 90.00
_cell_angle_beta 90.00
_cell_angle_gamma 90.00
loop_
_space_group_symop_operation_xyz
'x,y,z'
'-x,-y,-z'
'-x+1/2,-y,z+1/2'
'x+1/2,y,-z+1/2'
'x+1/2,-y+1/2,-z+1/2'
'-x+1/2,y+1/2,z+1/2'
'-x,y+1/2,-z'
'x,-y+1/2,z'
loop_
_atom_site_label
_atom_site_fract_x
_atom_site_fract_y
_atom_site_fract_z
Rb1 0.240 0.250 0.025
Na1 0.029 0.750 0.087
Zr1 0.013 0.250 0.342
S1 0.081 0.750 0.847
S2 0.085 0.250 0.566
S3 0.123 0.750 0.286
```

Results
total magnetic moment	0.0	μB per formula unit
raw total energy	-31.15	eV per formula unit


First-principles (GGA-PBE) data for a relaxed Rb2NaTcSe6 crystal, as listed in OQMD via LeMat-Bulk.

The structure in CIF format:
```
data_Rb2NaTcSe6
_chemical_formula_sum 'Rb8 Na4 Tc4 Se24'
_space_group_name_H-M_alt 'F m -3 m'
_space_group_IT_number 225
_space_group_name_Hall '-F 4 2 3'
_cell_length_a 10.471
_cell_length_b 10.471
_cell_length_c 10.471
_cell_angle_alpha 90.00
_cell_angle_beta 90.00
_cell_angle_gamma 90.00
loop_
_atom_site_label
_atom_site_fract_x
_atom_site_fract_y
_atom_site_fract_z
Rb1 0.250 0.250 0.250
Na1 0.000 0.000 0.000
Tc1 0.000 0.000 0.500
Se1 0.000 0.000 0.263
```

Results
total magnetic moment	0.6	μB per formula unit
raw total energy	-37.77	eV per formula unit